<i>
KCu2Ag2 PBE-GGA optimized geometry; SG = P4/mbm (127); total moment = 0.0 μB/cell; mass density = 6.66 g/cm³
1.0
-0.9378 -6.9290 4.3184
4.1537 -4.1471 -5.7522
2.4101 0.5233 1.3631
Ag Cu K
4 4 2
Direct
0.6253 0.1253 0.0000
0.8747 0.6253 0.0000
0.3747 0.8747 0.0000
0.1253 0.3747 0.0000
0.6676 0.8324 0.5000
0.3324 0.1676 0.5000
0.8324 0.3324 0.5000
0.1676 0.6676 0.5000
0.5000 0.5000 0.0000
0.0000 0.0000 0.0000

<ii>
KCu2Ag2 PBE-GGA optimized geometry; SG = P4/mbm (127); total moment = 0.0 μB/cell; mass density = 6.72 g/cm³
1.0
8.1639 0.0000 0.0000
0.0000 8.1639 0.0000
0.0000 0.0000 2.8312
Cu K Ag
4 2 4
Direct
0.1107 0.3893 0.0000
0.3893 0.8893 0.0000
0.6107 0.1107 0.0000
0.8893 0.6107 0.0000
0.5000 0.5000 0.0000
0.0000 0.0000 0.0000
0.1782 0.6782 0.5000
0.8218 0.3218 0.5000
0.3218 0.1782 0.5000
0.6782 0.8218 0.5000

<iii>
KCu2Ag2 PBE-GGA optimized geometry; SG = I4/mmm (139); total moment = 0.0 μB/cell; mass density = 6.01 g/cm³
1.0
-2.0903 -3.4804 1.5315
3.1493 -2.5640 -1.5284
3.2827 -2.5373 4.8611
Cu Ag K
2 2 1
Direct
0.6089 0.6089 0.7822
0.3911 0.3911 0.2178
0.7500 0.2500 0.5000
0.2500 0.7500 0.5000
0.0000 0.0000 0.0000

Which of them is the most stable? Correct choice: <ii>.

<i>
K2CuAg2 PBE-GGA optimized geometry; SG = I4/mmm (139); total moment = 0.0 μB/cell; mass density = 3.51 g/cm³
1.0
-2.0481 -5.4701 3.0050
3.9166 1.3359 5.1012
-1.9614 -0.0515 5.7486
Cu K Ag
1 2 2
Direct
0.0000 0.0000 0.0000
0.7500 0.2500 0.5000
0.2500 0.7500 0.5000
0.6731 0.6731 0.6537
0.3269 0.3269 0.3463

<ii>
K2CuAg2 PBE-GGA optimized geometry; SG = P4/mbm (127); total moment = 0.0 μB/cell; mass density = 4.32 g/cm³
1.0
7.0866 0.0000 0.0000
0.0000 7.0866 0.0000
0.0000 0.0000 5.4762
Cu K Ag
2 4 4
Direct
0.5000 0.5000 0.0000
0.0000 0.0000 0.0000
0.8218 0.3218 0.5000
0.6782 0.8218 0.5000
0.3218 0.1782 0.5000
0.1782 0.6782 0.5000
0.6434 0.1434 0.0000
0.1434 0.3566 0.0000
0.3566 0.8566 0.0000
0.8566 0.6434 0.0000

Which of them is the most stable? Correct choice: <ii>.

<i>
KCuAg3 PBE-GGA optimized geometry; SG = Pm-3m (221); total moment = 0.0 μB/cell; mass density = 5.56 g/cm³
1.0
-3.3535 3.4746 -1.4145
-2.4096 -0.5409 4.3842
2.8753 3.5992 2.0243
Ag K Cu
3 1 1
Direct
0.0000 0.5000 0.0000
0.0000 0.0000 0.5000
0.5000 0.0000 0.0000
0.5000 0.5000 0.5000
0.0000 0.0000 0.0000

<ii>
KCuAg3 PBE-GGA optimized geometry; SG = Pm-3m (221); total moment = 0.0 μB/cell; mass density = 4.14 g/cm³
1.0
-3.2647 1.8238 4.1028
1.3572 -4.4345 3.0512
4.2798 2.7975 2.1620
K Ag Cu
1 3 1
Direct
0.0000 0.0000 0.0000
0.0000 0.0000 0.5000
0.5000 0.0000 0.0000
0.0000 0.5000 0.0000
0.5000 0.5000 0.5000

Which of them is the most stable? Correct choice: <i>.

<i>
La2CuAg PBE-GGA optimized geometry; SG = I-42d (122); total moment = 0.0 μB/cell; mass density = 6.63 g/cm³
1.0
-3.5047 -2.0625 -7.0303
-6.8638 -1.8017 3.9503
-6.2605 1.2789 -1.9455
Ag La Cu
2 4 2
Direct
0.7500 0.2500 0.5000
0.0000 0.0000 0.0000
0.8750 0.8471 0.7500
0.3750 0.4029 0.7500
0.1529 0.6250 0.2500
0.5971 0.1250 0.2500
0.2500 0.7500 0.5000
0.5000 0.5000 0.0000

<ii>
La2CuAg PBE-GGA optimized geometry; SG = I-4m2 (119); total moment = 0.0 μB/cell; mass density = 8.16 g/cm³
1.0
-4.5217 -2.1684 -0.6331
1.9105 -4.4083 1.5700
0.4376 4.1134 2.9045
Cu La Ag
1 2 1
Direct
0.7500 0.2500 0.5000
0.0000 0.0000 0.0000
0.2500 0.7500 0.5000
0.5000 0.5000 0.0000

Which of them is the most stable? Correct choice: <ii>.